No. 1
The following is a DFT calculation (PBE) of InHgBi after structural relaxation.

Calculated values
energy above the most stable polymorph in this dataset: 0.0405 eV/atom
density: 8.6 g/cm3
Fermi-level density of states: 1.75 states/eV/f.u.
raw total energy: -2.2305 eV per atom
symmetry: No. 216
size of the total moment: 0.00 μB per atom
energy of formation: 77 meV/atom

Unit cell a=5.2389 b=5.2389 c=5.2389 alpha=60.00 beta=60.00 gamma=60.00
Closest atoms and distances in Å follow each position.
Fractional positions:
In 0.0000 0.0000 0.0000  4 Bi 3.21
Bi 0.2500 0.2500 0.2500  4 Hg 3.21, 4 In 3.21
Hg 0.5000 0.5000 0.5000  4 Bi 3.21



No. 2
The following is a DFT calculation (PBE) of In7Hg2Bi2 after structural relaxation.

Calculated values
energy above the most stable polymorph in this dataset: 0.0122 eV/atom
density: 8.6 g/cm3
Fermi-level density of states: 4.54 states/eV/f.u.
raw total energy: -2.4650 eV per atom
symmetry: No. 12
size of the total moment: 0.00 μB per atom
energy of formation: 38 meV/atom

Unit cell a=6.5147 b=7.1995 c=7.1995 alpha=101.11 beta=101.42 gamma=101.42
Closest atoms and distances in Å follow each position.
Fractional positions:
In 0.1841 0.4233 0.9222  2 Hg 3.01-3.11, 3 In 3.14-3.32, 1 Bi 3.29
In 0.8159 0.0778 0.5767  2 Hg 3.01-3.11, 3 In 3.14-3.32, 1 Bi 3.29
In 0.8159 0.5767 0.0778  2 Hg 3.01-3.11, 3 In 3.14-3.32, 1 Bi 3.29
In 0.1841 0.9222 0.4233  2 Hg 3.01-3.11, 3 In 3.14-3.32, 1 Bi 3.29
In 0.1331 0.3742 0.3742  2 Hg 3.22, 6 In 3.26-3.41, 1 Bi 3.58
In 0.0000 0.0000 0.0000  6 In 3.24-3.26, 2 Bi 3.52
In 0.8669 0.6258 0.6258  2 Hg 3.22, 6 In 3.26-3.41, 1 Bi 3.58
Hg 0.5000 0.2974 0.7026  6 In 3.01-3.22
Hg 0.5000 0.7026 0.2974  6 In 3.01-3.22
Bi 0.4377 0.8178 0.8178  1 Bi 3.18, 3 In 3.29-3.52
Bi 0.5623 0.1822 0.1822  1 Bi 3.18, 3 In 3.29-3.52



No. 3
The following is a DFT calculation (PBE) of In2Hg2Bi after structural relaxation.

Calculated values
energy above the most stable polymorph in this dataset: 0.0123 eV/atom
density: 9.6 g/cm3
Fermi-level density of states: 1.10 states/eV/f.u.
raw total energy: -1.9648 eV per atom
symmetry: No. 164
size of the total moment: 0.00 μB per atom
energy of formation: 28 meV/atom

Unit cell a=3.4059 b=3.4059 c=14.4616 alpha=90.00 beta=90.00 gamma=120.00
Closest atoms and distances in Å follow each position.
Fractional positions:
In 0.6667 0.3333 0.7037  6 In 3.41, 3 Hg 3.49, 3 Bi 3.54
In 0.3333 0.6667 0.2963  6 In 3.41, 3 Hg 3.49, 3 Bi 3.54
Hg 0.3333 0.6667 0.9033  9 Hg 3.41-3.42, 3 In 3.49
Hg 0.6667 0.3333 0.0967  9 Hg 3.41-3.42, 3 In 3.49
Bi 0.0000 0.0000 0.5000  6 Bi 3.41, 6 In 3.54



No. 4
The following is a DFT calculation (PBE) of In12Hg3Bi after structural relaxation.

Calculated values
density: 8.4 g/cm3
Fermi-level density of states: 6.54 states/eV/f.u.
raw total energy: -2.3333 eV per atom
symmetry: No. 123
size of the total moment: 0.00 μB per atom
energy of formation: 20 meV/atom

Unit cell a=4.8769 b=4.8769 c=18.2981 alpha=90.00 beta=90.00 gamma=90.00
Closest atoms and distances in Å follow each position.
Fractional positions:
In 0.5000 0.5000 0.0000  8 In 3.40, 4 Bi 3.45
In 0.5000 0.5000 0.2513  8 In 3.31-3.33, 4 Hg 3.45
In 0.5000 0.5000 0.5000  8 In 3.34, 4 Hg 3.45
In 0.5000 0.5000 0.7487  8 In 3.31-3.33, 4 Hg 3.45
In 0.5000 0.0000 0.1291  8 In 3.31-3.45, 2 Hg 3.36, 2 Bi 3.40
In 0.5000 0.0000 0.3756  4 Hg 3.28-3.34, 8 In 3.33-3.45
In 0.5000 0.0000 0.6244  4 Hg 3.28-3.34, 8 In 3.33-3.45
In 0.5000 0.0000 0.8709  8 In 3.31-3.45, 2 Hg 3.36, 2 Bi 3.40
In 0.0000 0.5000 0.1291  8 In 3.31-3.45, 2 Hg 3.36, 2 Bi 3.40
In 0.0000 0.5000 0.3756  4 Hg 3.28-3.34, 8 In 3.33-3.45
In 0.0000 0.5000 0.6244  4 Hg 3.28-3.34, 8 In 3.33-3.45
In 0.0000 0.5000 0.8709  8 In 3.31-3.45, 2 Hg 3.36, 2 Bi 3.40
Hg 0.0000 0.0000 0.2557  12 In 3.28-3.45
Hg 0.0000 0.0000 0.5000  12 In 3.34-3.45
Hg 0.0000 0.0000 0.7443  12 In 3.28-3.45
Bi 0.0000 0.0000 0.0000  12 In 3.40-3.45